No. 1
ScTlPb2 PBE optimized geometry; volume = 122.6 Å³ per cell; E_tot = -4.000 eV per atom; ΔE_f = 0.113 eV/f.u.; D(E_F) = 2.57 states/eV/f.u.
1.0
-4.5162 -1.4487 1.2272
-2.0846 -3.7663 -2.3389
0.0722 -5.4608 3.5980
Sc Tl Pb
1 1 2
direct
0.6725 0.6725 0.9826
0.4955 0.4955 0.5136
0.0657 0.0657 0.8028
0.2663 0.2663 0.2011



No. 2
ScTlPb3 PBE optimized geometry; volume = 180.3 Å³ per cell; energy above the lowest structure with this stoichiometry = 0.0000 eV/atom; E_tot = -3.781 eV per atom; ΔE_f = 0.916 eV/f.u.; D(E_F) = 3.18 states/eV/f.u.
1.0
-0.8260 -2.7705 -4.8532
3.2579 -4.2248 1.8573
-4.5405 -2.5273 2.2156
Pb Sc Tl
3 1 1
direct
0.0000 0.5000 0.0000
0.0000 0.0000 0.5000
0.5000 0.0000 0.0000
0.0000 0.0000 0.0000
0.5000 0.5000 0.5000